A plane-wave DFT calculation with GGA-PBE was carried out for crystalline Dy2GaRh2 at its relaxed geometry.

Cell lengths 10.1174, 5.4230, 7.6229 Å; angles 90.00, 105.17, 90.00 degrees
Space group C2/c (No. 15)
One atom of each set of equivalent atoms:
Dy 0.1464 0.1487 0.1491 (multiplicity 8)
Ga 0.0000 0.3515 0.7500 (multiplicity 4)
Rh 0.1322 0.3615 0.5069 (multiplicity 8)

Results
- density (g/cm3) = 9.9
- DFT formation energy (meV/atom) = -883